No. 1
VASP calculation (PBE-GGA) on a geometry-optimized ReO2F2 structure.

Results
offset from the most stable computed form = 2621 meV per atom

Cell lengths 3.8824, 3.8824, 3.5295 Å; angles 90.00, 90.00, 90.00 degrees
With the nearest neighbours (Å) after each atom.
Space group P4/mmm (No. 123)
Symmetry-distinct sites (fractional):
Re  0.0000  0.0000  0.0000 (multiplicity 1)  8 F 2.62, 4 O 2.75
O  0.5000  0.5000  0.0000 (multiplicity 1)  2 O 1.76
O  0.5000  0.5000  0.5000 (multiplicity 1)  2 O 1.76, 4 F 1.94
F  0.0000  0.5000  0.5000 (multiplicity 2)  2 O 1.94

No. 2
VASP calculation (PBE-GGA) on a geometry-optimized ReO4F structure.

Cell lengths 6.1051, 13.6247, 4.8717 Å; angles 90.00, 120.89, 90.00 degrees
With the nearest neighbours (Å) after each atom.
Space group C2/c (No. 15)
Symmetry-distinct sites (fractional):
Re  0.0000  0.0741  0.2500 (multiplicity 4)  4 O 1.79-1.87
O  0.1951  0.0393  0.6821 (multiplicity 8)  2 Re 1.87-2.08
O  0.2177  0.1637  0.2573 (multiplicity 8)  1 F 1.74, 1 Re 1.79
F  0.0000  0.3392  0.7500 (multiplicity 4)  2 O 1.74

No. 3
VASP calculation (PBE-GGA) on a geometry-optimized ReOF2 structure.

Results
offset from the most stable computed form = 248 meV per atom

Cell lengths 5.4064, 5.4064, 5.4064 Å; angles 90.00, 90.00, 90.00 degrees
With the nearest neighbours (Å) after each atom.
Space group Fm-3m (No. 225)
Symmetry-distinct sites (fractional):
Re  0.0000  0.0000  0.0000 (multiplicity 4)  8 F 2.34
O  0.0000  0.0000  0.5000 (multiplicity 4)  8 F 2.34
F  0.2500  0.2500  0.2500 (multiplicity 8)  4 O 2.34, 4 Re 2.34

No. 4
VASP calculation (PBE-GGA) on a geometry-optimized ReO2F2 structure.

Results
offset from the most stable computed form = 0 meV per atom

Cell lengths 3.7477, 3.7477, 3.9858 Å; angles 90.00, 90.00, 90.00 degrees
With the nearest neighbours (Å) after each atom.
Space group P4/mmm (No. 123)
Symmetry-distinct sites (fractional):
Re  0.0000  0.0000  0.0000 (multiplicity 1)  4 O 1.87, 2 F 1.99
O  0.0000  0.5000  0.0000 (multiplicity 2)  2 Re 1.87
F  0.0000  0.0000  0.5000 (multiplicity 1)  2 Re 1.99
F  0.5000  0.5000  0.5000 (multiplicity 1)  4 F 2.65, 8 O 2.74

No. 5
VASP calculation (PBE-GGA) on a geometry-optimized ReO3F structure.

Cell lengths 4.9836, 6.1769, 6.3153 Å; angles 90.00, 95.03, 90.00 degrees
With the nearest neighbours (Å) after each atom.
Space group P2_1/m (No. 11)
Symmetry-distinct sites (fractional):
Re  0.2434  0.2500  0.2590 (multiplicity 2)  3 O 1.72, 1 F 1.87
O  0.0392  0.0250  0.2482 (multiplicity 4)  1 Re 1.72
O  0.4328  0.2500  0.5008 (multiplicity 2)  1 Re 1.72
F  0.4660  0.2500  0.0364 (multiplicity 2)  1 Re 1.87

No. 6
VASP calculation (PBE-GGA) on a geometry-optimized Re2OF8 structure.

Cell lengths 6.6789, 9.1763, 5.8006 Å; angles 90.00, 93.46, 90.00 degrees
With the nearest neighbours (Å) after each atom.
Space group C2/m (No. 12)
Symmetry-distinct sites (fractional):
Re  0.0910  0.0000  0.2030 (multiplicity 4)  1 O 1.86, 5 F 1.86-2.07
O  0.0000  0.0000  0.5000 (multiplicity 2)  2 Re 1.86
F  0.0985  0.2053  0.2009 (multiplicity 8)  1 Re 1.88
F  0.1372  0.5000  0.7045 (multiplicity 4)  1 Re 1.86
F  0.2130  0.0000  0.8824 (multiplicity 4)  2 Re 2.06-2.07

No. 7
VASP calculation (PBE-GGA) on a geometry-optimized ReO2F3 structure.

Results
offset from the most stable computed form = 2 meV per atom

Cell lengths 5.8047, 5.1439, 13.2803 Å; angles 90.00, 99.76, 90.00 degrees
With the nearest neighbours (Å) after each atom.
Space group P2_1/c (No. 14)
Symmetry-distinct sites (fractional):
Re  0.1754  0.2108  0.3614 (multiplicity 4)  2 O 1.70, 2 F 1.86-1.87
O  0.2427  0.0798  0.9615 (multiplicity 4)  1 Re 1.70
O  0.3319  0.5585  0.9051 (multiplicity 4)  1 Re 1.70
F  0.0402  0.0043  0.2227 (multiplicity 4)  2 Re 2.15
F  0.1166  0.6080  0.1106 (multiplicity 4)  1 Re 1.87
F  0.3787  0.1638  0.7782 (multiplicity 4)  1 Re 1.86

No. 8
VASP calculation (PBE-GGA) on a geometry-optimized Re2O5F4 structure.

Cell lengths 5.2423, 3.7153, 8.9047 Å; angles 90.00, 104.14, 90.00 degrees
With the nearest neighbours (Å) after each atom.
Space group P2/m (No. 10)
Symmetry-distinct sites (fractional):
Re  0.0057  0.0000  0.2862 (multiplicity 2)  3 O 1.72-1.91
O  0.0000  0.0000  0.5000 (multiplicity 1)  2 Re 1.91
O  0.2025  0.0000  0.8956 (multiplicity 2)  1 Re 1.72
O  0.3410  0.0000  0.3089 (multiplicity 2)  1 Re 1.72
F  0.1161  0.5000  0.1976 (multiplicity 2)  2 Re 2.15, 1 F 2.23, 2 O 2.29
F  0.1896  0.5000  0.6671 (multiplicity 2)  2 Re 2.21, 1 F 2.23, 2 O 2.44

Volume (Å³ per cell)
53.20 347.75 158.03 55.98 193.66 354.86 390.79 168.18
Formation energy without anion corrections (eV per formula unit)
6.446 -4.932 0.536 -6.662 -8.247 -21.804 -11.720 -15.458